Record 1
The following is a PBE calculation of Dy3O after structural relaxation, from Alexandria via LeMat-Bulk.

Calculated values
Space-group type: No. 115
Final energy, eV/atom: -5.838
D(E_F), states/eV/f.u.: 3.460
Formation energy without anion corrections, eV/atom: -1.15

Lattice parameters (Å, degrees): 3.2913 3.2911 9.4059 90.00 90.00 90.00
With the nearest neighbours (Å) after each atom.
Fractional positions:
O  0.0000  0.0000  0.0837  4 Dy 2.33
Dy  0.0000  0.5000  0.4482  8 Dy 3.29-3.44
Dy  0.5000  0.5000  0.0833  4 O 2.33
Dy  0.5000  0.0000  0.7182  8 Dy 3.29-3.44



Record 2
The following is a PBE calculation of DyO4 after structural relaxation, from Alexandria via LeMat-Bulk.

Calculated values
Space-group type: No. 221
Final energy, eV/atom: -5.348
D(E_F), states/eV/f.u.: 4.128
Formation energy without anion corrections, eV/atom: -0.46

Lattice parameters (Å, degrees): 4.4903 4.4903 4.4903 90.00 90.00 90.00
With the nearest neighbours (Å) after each atom.
Fractional positions:
O  0.0000  0.0000  0.0000  12 O 3.18
O  0.5000  0.0000  0.5000  2 Dy 2.25
O  0.0000  0.5000  0.5000  2 Dy 2.25
O  0.5000  0.5000  0.0000  2 Dy 2.25
Dy  0.5000  0.5000  0.5000  6 O 2.25



Record 3
The following is a PBE calculation of DyO5 after structural relaxation, from Alexandria via LeMat-Bulk.

Calculated values
Space-group type: No. 8
Final energy, eV/atom: -6.174
D(E_F), states/eV/f.u.: 1.633
Formation energy without anion corrections, eV/atom: -1.28

Lattice parameters (Å, degrees): 3.6713 3.6601 9.4463 103.44 90.00 120.10
With the nearest neighbours (Å) after each atom.
Fractional positions:
Dy  0.0018  0.0037  0.1201  4 O 2.19-2.35
O  0.3727  0.7454  0.6272  1 O 1.23
O  0.7126  0.4253  0.2684  1 O 1.35
O  0.5110  0.0221  0.7474  1 O 1.23
O  0.9237  0.8473  0.3501  1 O 1.35
O  0.3114  0.6229  0.0535  3 Dy 2.19-2.21



Record 4
The following is a PBE calculation of Dy3OsO7 after structural relaxation, from Alexandria via LeMat-Bulk.

Calculated values
Space-group type: No. 20
Final energy, eV/atom: -8.207
D(E_F), states/eV/f.u.: 0.653
Formation energy without anion corrections, eV/atom: -2.78

Lattice parameters (Å, degrees): 6.4671 6.4671 7.4113 90.00 90.00 108.87
With the nearest neighbours (Å) after each atom.
Fractional positions:
Dy  0.4758  0.4758  0.5000  6 O 2.31-2.43
Dy  0.5242  0.5242  0.0000  6 O 2.31-2.43
Dy  0.5343  0.9996  0.2546  7 O 2.22-2.44
Dy  0.4657  0.0004  0.7546  7 O 2.22-2.44
Dy  0.9996  0.5343  0.7454  7 O 2.22-2.44
Dy  0.0004  0.4657  0.2454  7 O 2.22-2.44
Os  0.0005  0.0005  0.5000  6 O 1.95-2.00
Os  0.9995  0.9995  0.0000  6 O 1.95-2.00
O  0.6871  0.9382  0.5348  1 Os 1.95
O  0.3129  0.0618  0.0348  1 Os 1.95
O  0.9382  0.6871  0.4652  1 Os 1.95
O  0.0618  0.3129  0.9652  1 Os 1.95
O  0.0800  0.3248  0.5260  1 Os 2.00
O  0.9200  0.6752  0.0260  1 Os 2.00
O  0.3248  0.0800  0.4740  1 Os 2.00
O  0.6752  0.9200  0.9740  1 Os 2.00
O  0.3693  0.6307  0.2500  4 Dy 2.28-2.31
O  0.6307  0.3693  0.7500  4 Dy 2.28-2.31
O  0.6377  0.3623  0.2500  4 Dy 2.22-2.36
O  0.3623  0.6377  0.7500  4 Dy 2.22-2.36
O  0.9285  0.0715  0.2500  2 Os 2.00
O  0.0715  0.9285  0.7500  2 Os 2.00



Record 5
The following is a PBE calculation of Dy4OsO10 after structural relaxation, from Alexandria via LeMat-Bulk.

Calculated values
Space-group type: No. 87
Final energy, eV/atom: -7.732
D(E_F), states/eV/f.u.: 13.991
Formation energy without anion corrections, eV/atom: -2.45

Lattice parameters (Å, degrees): 5.3334 6.4802 6.4802 80.25 65.70 65.70
With the nearest neighbours (Å) after each atom.
Fractional positions:
Dy  0.4025  0.7936  0.4015  8 O 2.26-2.41
Dy  0.8040  0.5985  0.7936  8 O 2.26-2.41
Dy  0.1960  0.4015  0.2064  8 O 2.26-2.41
Dy  0.5975  0.2064  0.5985  8 O 2.26-2.41
Os  0.0000  0.0000  0.0000  8 O 2.08
O  0.2500  0.5000  0.5000  4 Dy 2.26
O  0.6788  0.2753  0.9162  1 Os 2.08
O  0.0459  0.0838  0.2753  1 Os 2.08
O  0.4050  0.9162  0.7247  1 Os 2.08
O  0.8703  0.7247  0.0838  1 Os 2.08
O  0.3212  0.7247  0.0838  1 Os 2.08
O  0.7500  0.5000  0.5000  4 Dy 2.26
O  0.1297  0.2753  0.9162  1 Os 2.08
O  0.5950  0.0838  0.2753  1 Os 2.08
O  0.9541  0.9162  0.7247  1 Os 2.08



Record 6
The following is a PBE calculation of Dy2OsO6 after structural relaxation, from Alexandria via LeMat-Bulk.

Calculated values
Space-group type: No. 14
Energy above the lowest structure with this stoichiometry, eV per atom: 0.000
Final energy, eV/atom: -7.977
D(E_F), states/eV/f.u.: 3.661
Formation energy without anion corrections, eV/atom: -2.40

Lattice parameters (Å, degrees): 5.4555 5.7681 7.8224 90.00 97.59 90.00
With the nearest neighbours (Å) after each atom.
Fractional positions:
Dy  0.9549  0.4126  0.7662  7 O 2.27-2.53
Dy  0.5451  0.9126  0.7338  7 O 2.27-2.53
Dy  0.4549  0.0874  0.2662  7 O 2.27-2.53
Dy  0.0451  0.5874  0.2338  7 O 2.27-2.53
Os  0.5000  0.5000  0.0000  6 O 1.91-1.99
Os  0.0000  0.0000  0.5000  6 O 1.91-1.99
O  0.8338  0.9210  0.2771  1 Os 1.91
O  0.8562  0.7302  0.5954  1 Os 1.94
O  0.7944  0.6738  0.9458  1 Os 1.99
O  0.7056  0.1738  0.5542  1 Os 1.99
O  0.6438  0.2302  0.9046  1 Os 1.94
O  0.6662  0.4210  0.2229  1 Os 1.91
O  0.1662  0.0790  0.7229  1 Os 1.91
O  0.1438  0.2698  0.4046  1 Os 1.94
O  0.2056  0.3262  0.0542  1 Os 1.99
O  0.2944  0.8262  0.4458  1 Os 1.99
O  0.3562  0.7698  0.0954  1 Os 1.94
O  0.3338  0.5790  0.7771  1 Os 1.91



Record 7
The following is a PBE calculation of DyOs2O8 after structural relaxation, from Alexandria via LeMat-Bulk.

Calculated values
Space-group type: No. 164
Final energy, eV/atom: -7.521
D(E_F), states/eV/f.u.: 7.216
Formation energy without anion corrections, eV/atom: -1.46

Lattice parameters (Å, degrees): 6.2007 6.1631 6.1631 120.00 90.00 90.00
With the nearest neighbours (Å) after each atom.
Fractional positions:
Dy  0.5000  0.0000  0.0000  6 O 2.24
Os  0.7997  0.6667  0.3333  4 O 1.74-1.79
Os  0.2003  0.3333  0.6667  4 O 1.74-1.79
O  0.9192  0.3333  0.6667  1 Os 1.74
O  0.0808  0.6667  0.3333  1 Os 1.74
O  0.3034  0.1765  0.3529  1 Os 1.79
O  0.6966  0.8235  0.6471  1 Os 1.79
O  0.6966  0.3529  0.1765  1 Os 1.79
O  0.3034  0.6471  0.8235  1 Os 1.79
O  0.3034  0.1765  0.8235  1 Os 1.79
O  0.6966  0.8235  0.1765  1 Os 1.79



Record 8
The following is a PBE calculation of Dy2OsO after structural relaxation, from Alexandria via LeMat-Bulk.

Calculated values
Space-group type: No. 123
Final energy, eV/atom: -7.459
D(E_F), states/eV/f.u.: 1.117
Formation energy without anion corrections, eV/atom: -1.11

Lattice parameters (Å, degrees): 3.1993 3.1993 6.7614 90.00 90.00 90.00
With the nearest neighbours (Å) after each atom.
Fractional positions:
Os  0.5000  0.5000  0.5000  8 Dy 2.88, 4 Os 3.20
O  0.5000  0.5000  0.0000  8 Dy 2.77
Dy  0.0000  0.0000  0.7637  4 O 2.77, 4 Os 2.88
Dy  0.0000  0.0000  0.2363  4 O 2.77, 4 Os 2.88